Density functional theory data (PBE with a Hubbard U) for an optimized crystal structure of NpSiNiO6.

Cell lengths 5.099, 5.099, 8.820 Å; angles 90.00, 90.00, 120.00 degrees
Last column: magnetic moment on the atom in μB.
Sites, in units of the cell vectors:
O: 0.330 0.961 0.635  -0.01
O: 0.370 0.330 0.365  -0.01
O: 0.039 0.370 0.635  -0.01
O: 0.630 0.670 0.635  -0.01
O: 0.630 0.961 0.865  -0.01
O: 0.670 0.630 0.135  -0.01
O: 0.370 0.039 0.135  -0.01
O: 0.670 0.039 0.365  -0.01
O: 0.330 0.370 0.865  -0.01
O: 0.961 0.330 0.135  -0.01
O: 0.961 0.630 0.365  -0.01
O: 0.039 0.670 0.865  -0.01
Ni: 0.000 0.000 0.500  1.80
Ni: 0.000 0.000 0.000  1.80
Si: 0.667 0.333 0.250  0.01
Si: 0.333 0.667 0.750  0.01
Np: 0.333 0.667 0.250  1.26
Np: 0.667 0.333 0.750  1.26

Results
Electronic total energy in eV/atom: -7.81
Calculated volume in Å³ per atom: 11.035
Fermi-level density of states in states/eV per atom: 0.037